(1)
BaLaRh2N PBE-GGA optimized geometry; magnetization = 0.13 μB per atom; formation energy without anion corrections = 0.01 eV per atom; E_tot = -29.85 eV/cell; space-group type = P4/mmm, No. 123
1.0
4.5614 0.0000 0.0000
0.0000 4.7607 0.0000
0.0000 0.0000 4.5614
N Rh Ba La
1 2 1 1
direct
0.0000 0.0000 0.0000
0.0000 0.0000 0.5000
0.5000 0.0000 0.0000
0.5000 0.5000 0.5000
0.0000 0.5000 0.0000

---

(2)
PmDy4Tl PBE-GGA optimized geometry; excess energy over the best structure of this formula in the dataset = 130 meV per atom; magnetization = 0.00 μB per atom; calculated formation energy = 0.026 eV/atom; E_tot = -50.74 eV/cell; space-group type = Cmc2_1, No. 36
1.0
-3.7417 0.7544 4.0676
-1.2062 -6.4252 0.0821
9.4699 -1.7113 5.2037
Pm Dy Tl
2 8 2
direct
0.9359 0.7667 0.8719
0.0641 0.2667 0.1281
0.8618 0.2577 0.7236
0.1382 0.7577 0.2764
0.4598 0.0914 0.9197
0.5402 0.5914 0.0803
0.6832 0.4126 0.3664
0.3168 0.9126 0.6336
0.7458 0.8896 0.4915
0.2542 0.3896 0.5085
0.6034 0.0154 0.2068
0.3966 0.5154 0.7932

---

(3)
MnPdAu2 PBE-GGA optimized geometry; magnetization = 1.04 μB per atom; calculated formation energy = 0.027 eV/atom; E_tot = -20.81 eV/cell; space-group type = Cm, No. 8
1.0
-2.7026 0.8595 0.8362
-2.3296 -0.5167 -1.7460
-2.9574 -7.7152 3.6846
Mn Pd Au
1 1 2
direct
0.6668 0.6668 0.9998
0.4999 0.4999 0.5002
0.0797 0.0797 0.7607
0.2536 0.2536 0.2393

---

(4)
ZrZn2Pt3 PBE-GGA optimized geometry; magnetization = 0.00 μB per atom; calculated formation energy = -0.719 eV/atom; E_tot = -67.06 eV/cell; space-group type = P-3m1, No. 164
1.0
4.4470 0.0000 0.0000
-2.2235 3.8512 0.0000
0.0000 0.0000 11.3928
Zr Zn Pt
2 4 6
direct
0.3333 0.6667 0.6753
0.6667 0.3333 0.3247
0.0000 0.0000 0.5000
0.3333 0.6667 0.1655
0.6667 0.3333 0.8345
0.0000 0.0000 0.0000
0.3333 0.6667 0.4295
0.6667 0.3333 0.0760
0.0000 0.0000 0.7774
0.0000 0.0000 0.2226
0.3333 0.6667 0.9240
0.6667 0.3333 0.5705

---

(5)
Li2MgTa PBE-GGA optimized geometry; magnetization = 0.00 μB per atom; calculated formation energy = 0.248 eV/atom; E_tot = -16.28 eV/cell; space-group type = P4mm, No. 99
1.0
2.8654 0.0000 0.0000
0.0000 2.8654 0.0000
0.0000 0.0000 8.9375
Li Mg Ta
2 1 1
direct
0.0000 0.0000 0.0004
0.5000 0.5000 0.2409
0.0000 0.0000 0.5025
0.5000 0.5000 0.7562

---

(6)
LiZn6Au4 PBE-GGA optimized geometry; magnetization = 0.00 μB per atom; calculated formation energy = -0.212 eV/atom; E_tot = -25.00 eV/cell; space-group type = P-6m2, No. 187
1.0
-3.0280 0.0312 0.9963
1.5858 -6.4597 5.0216
0.9980 7.7898 2.7896
Li Zn Au
1 6 4
direct
0.0000 0.0000 0.0000
0.5000 0.6355 0.8178
0.5000 0.1823 0.3645
0.0000 0.5218 0.0436
0.0000 0.5218 0.4782
0.0000 0.9564 0.4782
0.5000 0.1823 0.8178
0.5000 0.3559 0.1780
0.5000 0.8220 0.1780
0.0000 0.3333 0.6667
0.5000 0.8220 0.6441

---

(7)
LaCdIn PBE-GGA optimized geometry; magnetization = 0.00 μB per atom; calculated formation energy = -0.401 eV/atom; E_tot = -19.57 eV/cell; space-group type = P1, No. 1
1.0
5.3664 0.0093 0.0052
2.6881 4.6462 0.0023
0.0132 0.0052 6.7784
In La Cd
2 2 2
direct
0.4850 0.2741 0.0535
0.8191 0.6078 0.3725
0.1522 0.9408 0.1555
0.4858 0.2748 0.5771
0.1531 0.9415 0.6728
0.8189 0.6077 0.8638

---

(8)
ZnAsRh2 PBE-GGA optimized geometry; excess energy over the best structure of this formula in the dataset = 208 meV per atom; magnetization = 0.00 μB per atom; calculated formation energy = -0.134 eV/atom; E_tot = -21.16 eV/cell; space-group type = P4mm, No. 99
1.0
2.9380 -0.0008 0.0000
0.0009 2.9380 0.0000
0.0000 0.0000 7.3937
As Rh Zn
1 2 1
direct
0.5000 0.5000 0.7972
0.0000 0.0000 0.9944
0.5000 0.5000 0.2518
0.0000 0.0000 0.4566

---

(9)
Sr3Ce2PrAs6 PBE-GGA optimized geometry; magnetization = 0.00 μB per atom; calculated formation energy = -1.253 eV/atom; E_tot = -64.62 eV/cell; space-group type = C2/m, No. 12
1.0
7.5502 -0.0035 -0.0011
-3.7763 6.5379 -0.0011
-1.2600 -2.1816 7.1397
Sr Ce Pr As
3 2 1 6
direct
0.1645 0.8355 0.5000
0.8355 0.1645 0.5000
0.5000 0.5000 0.5000
0.3332 0.6668 0.0000
0.6668 0.3332 0.0000
0.0000 0.0000 0.0000
0.9254 0.5833 0.7763
0.7324 0.7324 0.2233
0.0746 0.4167 0.2237
0.5833 0.9254 0.7763
0.2676 0.2676 0.7767
0.4167 0.0746 0.2237

---

(10)
Li4Tb3HfSe8 PBE-GGA optimized geometry; magnetization = 0.00 μB per atom; formation energy without anion corrections = -1.57 eV per atom; E_tot = -84.53 eV/cell; space-group type = R-3m, No. 166
1.0
-0.9149 7.6438 -2.1625
-3.6197 -2.3337 -6.7175
-2.7159 -2.5011 7.0924
Li Tb Hf Se
4 3 1 8
direct
0.5000 0.0000 0.0000
0.5000 0.0000 0.5000
0.0000 0.0000 0.0000
0.0000 0.0000 0.5000
0.5000 0.5000 0.0000
0.5000 0.5000 0.5000
0.0000 0.5000 0.5000
0.0000 0.5000 0.0000
0.2426 0.7514 0.0088
0.2426 0.7514 0.4853
0.2468 0.2405 0.4936
0.7662 0.7514 0.0088
0.2338 0.2486 0.9912
0.7532 0.7595 0.5064
0.7574 0.2486 0.5147
0.7574 0.2486 0.9912

---

(11)
Rb2NaLiRh PBE-GGA optimized geometry; magnetization = 0.00 μB per atom; calculated formation energy = 0.463 eV/atom; E_tot = -10.20 eV/cell; space-group type = P4/mmm, No. 123
1.0
6.5105 0.0000 0.0000
0.0000 4.9039 0.0000
0.0000 0.0000 6.5105
Na Rh Rb Li
1 1 2 1
direct
0.5000 0.5000 0.5000
0.0000 0.0000 0.0000
0.0000 0.0000 0.5000
0.5000 0.0000 0.0000
0.0000 0.5000 0.0000

---

(12)
Cd2AgSe PBE-GGA optimized geometry; magnetization = 0.00 μB per atom; formation energy without anion corrections = 0.09 eV per atom; E_tot = -7.80 eV/cell; space-group type = Cmm2, No. 35
1.0
-1.1780 0.1171 -2.8834
2.6726 -1.3273 -0.9006
-3.5931 -8.0101 1.1425
Ag Cd Se
1 2 1
direct
0.5000 0.5000 0.7506
0.0000 0.0000 0.9832
0.5000 0.5000 0.2477
0.0000 0.0000 0.5185

---

(13)
Hf2TlMo PBE-GGA optimized geometry; excess energy over the best structure of this formula in the dataset = 855 meV per atom; magnetization = 0.00 μB per atom; calculated formation energy = 0.768 eV/atom; E_tot = -60.06 eV/cell; space-group type = I-42d, No. 122
1.0
4.1620 0.0000 0.0000
0.0000 4.1620 0.0000
2.0810 2.0810 10.1573
Tl Hf Mo
2 4 2
direct
0.0000 0.0000 0.0000
0.7500 0.2500 0.5000
0.6151 0.1250 0.2500
0.1349 0.6250 0.2500
0.3750 0.3849 0.7500
0.8750 0.8651 0.7500
0.5000 0.5000 0.0000
0.2500 0.7500 0.5000

---

(14)
Li2Mg3Al PBE-GGA optimized geometry; excess energy over the best structure of this formula in the dataset = 0 meV per atom; magnetization = 0.00 μB per atom; calculated formation energy = -0.051 eV/atom; E_tot = -12.66 eV/cell; space-group type = Cmmm, No. 65
1.0
3.4892 0.0000 -1.1038
0.0000 4.6283 0.0000
0.3786 0.0000 7.2636
Li Mg Al
2 3 1
direct
0.1672 0.5000 0.3343
0.8328 0.5000 0.6657
0.3384 0.0000 0.6769
0.6616 0.0000 0.3231
0.5000 0.5000 0.0000
0.0000 0.0000 0.0000

---

(15)
Sm4SbP2H PBE-GGA optimized geometry; magnetization = 0.00 μB per atom; E_tot = -94.38 eV/cell; space-group type = Cmcm, No. 63
1.0
4.1512 0.0000 0.0000
-2.0756 6.7723 0.0000
0.0000 0.0000 13.9065
Sm Sb P H
8 2 4 2
direct
0.2652 0.5304 0.1161
0.7348 0.4696 0.6161
0.7348 0.4696 0.8839
0.2652 0.5304 0.3839
0.0000 0.0000 0.5000
0.0000 0.0000 0.0000
0.4353 0.8707 0.7500
0.5647 0.1293 0.2500
0.1079 0.2158 0.7500
0.8921 0.7842 0.2500
0.3658 0.7317 0.5605
0.6342 0.2683 0.0605
0.6342 0.2683 0.4395
0.3658 0.7317 0.9395
0.8429 0.6859 0.7500
0.1571 0.3141 0.2500

---

(16)
Nb3ReTe PBE-GGA optimized geometry; excess energy over the best structure of this formula in the dataset = 984 meV per atom; magnetization = 0.00 μB per atom; formation energy without anion corrections = 1.98 eV per atom; E_tot = -35.91 eV/cell; space-group type = Pm-3m, No. 221
1.0
4.9000 0.0000 0.0000
0.0000 4.9000 0.0000
0.0000 0.0000 4.9000
Re Nb Te
1 3 1
direct
0.5000 0.5000 0.5000
0.0000 0.5000 0.0000
0.0000 0.0000 0.5000
0.5000 0.0000 0.0000
0.0000 0.0000 0.0000

---

(17)
BaTl3 PBE-GGA optimized geometry; magnetization = 0.00 μB per atom; calculated formation energy = -0.032 eV/atom; E_tot = -9.15 eV/cell; space-group type = R-3m, No. 166
1.0
-7.6901 -6.4577 4.8298
-8.1537 -7.5160 1.0916
-5.3729 -9.1979 3.2705
Tl Ba
3 1
direct
0.2451 0.2451 0.2451
0.5000 0.5000 0.5000
0.7549 0.7549 0.7549
0.0000 0.0000 0.0000

---

(18)
Tb8Pm3Th3 PBE-GGA optimized geometry; magnetization = 0.00 μB per atom; calculated formation energy = 0.160 eV/atom; E_tot = -71.32 eV/cell; space-group type = Immm, No. 71
1.0
-2.9805 2.6136 -4.0836
-5.1891 -6.8098 -4.5362
-6.8539 5.2500 4.3976
Tb Pm Th
8 3 3
direct
0.6583 0.1176 0.5666
0.3417 0.8824 0.4334
0.6583 0.5666 0.1176
0.3417 0.4334 0.8824
0.8386 0.7646 0.5575
0.1614 0.2354 0.4425
0.8386 0.5575 0.7646
0.1614 0.4425 0.2354
0.5000 0.5000 0.5000
0.8100 0.1902 0.1902
0.1900 0.8098 0.8098
0.5000 0.0000 0.0000
0.0000 0.8145 0.1855
0.0000 0.1855 0.8145

---

(19)
Cs4RbAu2 PBE-GGA optimized geometry; excess energy over the best structure of this formula in the dataset = 0 meV per atom; magnetization = 0.00 μB per atom; calculated formation energy = -0.164 eV/atom; E_tot = -24.17 eV/cell; space-group type = P1, No. 1
1.0
9.4608 -0.3802 -2.9154
-1.4097 9.7268 -2.4772
0.1290 0.5473 10.6780
Cs Rb Au
8 2 4
direct
0.8688 0.1516 0.7323
0.3999 0.6425 0.7224
0.7426 0.0241 0.1559
0.8337 0.5578 0.5719
0.4516 0.1542 0.4083
0.4121 0.6153 0.2286
0.3796 0.2466 0.8882
0.8708 0.4982 0.0768
0.0775 0.8870 0.4610
0.1226 0.8568 0.9757
0.6251 0.3477 0.2320
0.6221 0.3836 0.7343
0.7104 0.8825 0.4353
0.1332 0.5021 0.8772

---

(20)
Y2TlC PBE-GGA optimized geometry; magnetization = 0.00 μB per atom; calculated formation energy = 0.620 eV/atom; E_tot = -22.04 eV/cell; space-group type = Fm-3m, No. 225
1.0
0.0000 3.5407 3.5407
3.5407 0.0000 3.5407
3.5407 3.5407 0.0000
Y Tl C
2 1 1
direct
0.2500 0.2500 0.2500
0.7500 0.7500 0.7500
0.5000 0.5000 0.5000
0.0000 0.0000 0.0000